Below is crystalline Li2DyMg2In2 at its relaxed geometry, with properties calculated at the GGA-PBE level.

Unit cell a=4.7572 b=4.9344 c=7.7932 alpha=103.50 beta=90.00 gamma=118.82
Positions (direct):
1 Li 0.7175 0.4349 0.1959
2 Li 0.2825 0.5651 0.8041
3 Dy 0.0000 0.0000 0.0000
4 Mg 0.1308 0.2616 0.4170
5 Mg 0.8692 0.7384 0.5830
6 In 0.6040 0.2079 0.7658
7 In 0.3960 0.7921 0.2342

Computed properties:
Volume, Å³ per atom: 22.1
VASP energy, eV per atom: -2.643
ΔE_f, eV/atom: -0.20

***

Below is crystalline LiDyMg2In4 at its relaxed geometry, with properties calculated at the GGA-PBE level.

Unit cell a=5.0411 b=5.0411 c=8.9808 alpha=73.70 beta=73.70 gamma=60.00
Positions (direct):
1 Li 0.5000 0.5000 0.5000
2 Dy 0.0000 0.0000 0.0000
3 Mg 0.7488 0.7488 0.7536
4 Mg 0.2512 0.2512 0.2464
5 In 0.3834 0.3834 0.8498
6 In 0.8703 0.8703 0.3890
7 In 0.1297 0.1297 0.6110
8 In 0.6166 0.6166 0.1502

Computed properties:
Volume, Å³ per atom: 23.4
VASP energy, eV per atom: -2.836
ΔE_f, eV/atom: -0.25

***

Below is crystalline LiDyMgIn at its relaxed geometry, with properties calculated at the GGA-PBE level.

Unit cell a=5.0572 b=5.0572 c=5.0572 alpha=60.00 beta=60.00 gamma=60.00
Positions (direct):
1 Mg 0.0000 0.0000 0.0000
2 In 0.2500 0.2500 0.2500
3 Li 0.7500 0.7500 0.7500
4 Dy 0.5000 0.5000 0.5000

Computed properties:
Volume, Å³ per atom: 22.9
VASP energy, eV per atom: -2.973
ΔE_f, eV/atom: -0.26